SmYCu4: relaxed, PBE.

The structure in POSCAR format:
```
SmYCu4
1.0
-2.1435 3.4895 3.6966
2.1435 -3.4895 3.6966
2.1435 3.4895 -3.6966
Sm Y Cu
1 1 4
Cartesian
0.0000 0.0000 0.0000
2.1435 0.0000 3.1447
2.1435 1.4284 -1.5056
2.1435 2.0684 0.9375
0.0000 2.0612 2.1910
0.0000 1.4211 4.6341
```

crystal system = orthorhombic
energy relative to the elements = -0.25 eV per atom
calculated total energy = -27.534 eV per cell

HoErNi2: relaxed, PBE.

The structure in POSCAR format:
```
HoErNi2
1.0
5.3798 0.0000 0.0000
0.0000 4.1465 0.0000
-0.0018 0.0000 6.9980
Ho Er Ni
2 2 4
Cartesian
0.7001 1.0366 1.2582
4.6779 3.1099 5.7398
1.9885 1.0366 4.7566
3.3895 3.1099 2.2413
0.6697 3.1099 3.2337
2.0180 3.1099 6.7324
3.3599 1.0366 0.2656
4.7082 1.0366 3.7642
```

crystal system = monoclinic
energy relative to the elements = -0.48 eV per atom
calculated total energy = -44.431 eV per cell

TbGdSn2Ir: relaxed, PBE.

The structure in POSCAR format:
```
TbGdSn2Ir
1.0
5.5055 -2.2532 0.0000
5.5055 2.2532 0.0000
-4.8433 0.0000 9.8772
Tb Gd Sn Ir
2 2 4 2
Cartesian
1.4306 0.0000 1.2725
4.7371 0.0000 8.6047
-3.2242 0.0000 6.6434
9.3919 0.0000 3.2338
1.6008 0.0000 4.4690
4.6038 0.0000 1.1421
1.5639 0.0000 8.7351
4.5669 0.0000 5.4082
-0.2252 0.0000 6.6708
6.3929 0.0000 3.2064
```

crystal system = monoclinic
calculated total energy = -60.232 eV per cell

GdYCd2: relaxed, PBE.

The structure in POSCAR format:
```
GdYCd2
1.0
5.4248 0.0000 0.0000
0.0000 6.0011 3.2781
0.0000 -6.0011 3.2781
Gd Y Cd
2 2 4
Cartesian
1.3562 -4.0556 3.2781
4.0686 4.0556 3.2781
1.3562 -0.9529 4.5900
4.0686 0.9529 4.5900
1.3562 -1.0135 1.4300
1.3562 2.1118 3.2143
4.0686 1.0135 1.4300
4.0686 -2.1118 3.2143
```

crystal system = orthorhombic
distance to the lowest polymorph of the same formula = 162.9 meV per atom
energy relative to the elements = -0.18 eV per atom
calculated total energy = -27.282 eV per cell

Hf4CoC3: relaxed, PBE.

The structure in POSCAR format:
```
Hf4CoC3
1.0
3.2705 0.0000 0.0000
-1.6352 2.8323 0.0000
0.0000 0.0000 23.6004
Hf Co C
8 2 6
Cartesian
0.0000 0.0000 3.9660
0.0000 0.0000 7.8342
0.0000 0.0000 15.7663
0.0000 0.0000 19.6344
0.0000 1.8882 1.3086
0.0000 1.8882 10.4916
1.6352 0.9441 13.1088
1.6352 0.9441 22.2918
0.0000 1.8882 5.9001
1.6352 0.9441 17.7003
0.0000 0.0000 0.0000
0.0000 0.0000 11.8002
0.0000 1.8882 14.5299
0.0000 1.8882 20.8707
1.6352 0.9441 2.7297
1.6352 0.9441 9.0705
```

crystal system = hexagonal
calculated total energy = -160.474 eV per cell

Cs2Rb2HgBi2: relaxed, PBE.

The structure in POSCAR format:
```
Cs2Rb2HgBi2
1.0
3.2359 1.8683 10.4403
-3.2359 1.8683 10.4403
0.0000 -3.7365 10.4403
Cs Rb Hg Bi
2 2 1 2
Cartesian
0.0000 0.0000 3.6706
0.0000 0.0000 27.6501
0.0000 0.0000 9.1296
0.0000 0.0000 22.1912
0.0000 0.0000 15.6604
0.0000 0.0000 12.8627
0.0000 0.0000 18.4581
```

crystal system = trigonal
calculated total energy = -14.798 eV per cell

LuMgTl: relaxed, PBE.

The structure in POSCAR format:
```
LuMgTl
1.0
0.0000 3.5442 3.5442
3.5442 0.0000 3.5442
3.5442 3.5442 0.0000
Lu Mg Tl
1 1 1
Cartesian
0.0000 0.0000 0.0000
5.3163 5.3163 5.3163
1.7721 1.7721 1.7721
```

crystal system = cubic
calculated total energy = -7.560 eV per cell

Li4In2AgPt: relaxed, PBE.

The structure in POSCAR format:
```
Li4In2AgPt
1.0
4.5522 0.0000 0.0000
0.0000 4.5522 0.0000
0.0000 0.0000 6.4570
Li In Ag Pt
4 2 1 1
Cartesian
0.0000 0.0000 0.0000
0.0000 2.2761 1.5569
2.2761 0.0000 4.9001
2.2761 2.2761 3.2285
0.0000 2.2761 4.9195
2.2761 0.0000 1.5375
0.0000 0.0000 3.2285
2.2761 2.2761 0.0000
```

crystal system = tetragonal
calculated total energy = -25.420 eV per cell

> Which value of calculated total energy does entry 3 give?

-60.232 eV per cell

> Which formula does entry 7 have?

LuMgTl

Please write out number 6 again, unchanged.
Cs2Rb2HgBi2: relaxed, PBE.

The structure in POSCAR format:
```
Cs2Rb2HgBi2
1.0
3.2359 1.8683 10.4403
-3.2359 1.8683 10.4403
0.0000 -3.7365 10.4403
Cs Rb Hg Bi
2 2 1 2
Cartesian
0.0000 0.0000 3.6706
0.0000 0.0000 27.6501
0.0000 0.0000 9.1296
0.0000 0.0000 22.1912
0.0000 0.0000 15.6604
0.0000 0.0000 12.8627
0.0000 0.0000 18.4581
```

crystal system = trigonal
calculated total energy = -14.798 eV per cell

> Which formula does entry 7 have?

LuMgTl